Computed, not measured: a geometry-optimized NbBrCl2 structure at the PBE level of DFT.

Results
electronic total energy: -14.99 eV per cell
excess energy over the best structure of this formula in the dataset: 1052 meV/atom
magnetization: 2.00 Bohr magnetons per cell
volume: 20.2 Å³/atom
space group: Fm-3m (225)
raw formation energy: 0.111 eV/atom

abc: 4.8528 4.8528 4.8528
angles: 60.00 60.00 60.00
Last column: magnetic moment on the atom in μB.
Positions (direct):
Nb 0.5000 0.5000 0.5000  1.92
Br 0.0000 0.0000 0.0000  -0.06
Cl 0.2500 0.2500 0.2500  -0.08
Cl 0.7500 0.7500 0.7500  -0.08